Entry from Alexandria: crystalline KBe3Tc at its relaxed geometry (PBE).

Cell and atoms, written as POSCAR:
```
KBe3Tc
1.0
4.497 0.000 0.000
0.000 4.497 0.000
0.000 0.000 4.497
Be K Tc
3 1 1
Direct
0.000 0.500 0.000 Be
0.000 0.000 0.500 Be
0.500 0.000 0.000 Be
0.500 0.500 0.500 K
0.000 0.000 0.000 Tc
```

Results
As for the symmetry: Pm-3m (221).



Entry from Alexandria: crystalline K2BeTc at its relaxed geometry (PBE).

Cell and atoms, written as POSCAR:
```
K2BeTc
1.0
-2.983 2.455 4.917
-6.176 0.202 0.964
4.702 -3.782 -1.641
Be K Tc
1 2 1
Direct
0.750 0.250 0.500 Be
0.500 0.500 0.000 K
0.000 0.000 0.000 K
0.250 0.750 0.500 Tc
```

Results
As for the symmetry: I4/mmm (139).



| no. | uncorrected energy (eV per atom) | energy of formation from the pure elements (meV/atom) | volume (Å³ per cell) |
| --- | --- | --- | --- |
| 1 | -3.661 | 867 | 90.93 |
| 2 | -2.656 | 1416 | 86.55 |